Entry 1:
# MgBeN GGA-PBE relaxed
# final energy	-15.494	eV/f.u.
# energy above the most stable polymorph in this dataset	0.1371	eV/atom
# formation energy without anion corrections	-616	meV/atom
data_MgBeN
_cell_length_a 4.8445
_cell_length_b 2.9396
_cell_length_c 4.9474
_cell_angle_alpha 90.00
_cell_angle_beta 118.55
_cell_angle_gamma 90.00
_symmetry_space_group_name_H-M 'P 1 21/m 1'
_symmetry_Int_Tables_number 11
loop_
_symmetry_equiv_pos_as_xyz
'x,y,z'
'-x,-y,-z'
'-x,y+1/2,-z'
'x,-y+1/2,z'
loop_
_atom_site_label
_atom_site_type_symbol
_atom_site_fract_x
_atom_site_fract_y
_atom_site_fract_z
Mg1 Mg 0.1675 0.2500 0.3156
Be1 Be 0.3939 0.7500 0.8441
N1 N 0.2215 0.2500 0.8543

---

Entry 2:
# MgBeN GGA-PBE relaxed
# final energy	-15.819	eV/f.u.
# energy above the most stable polymorph in this dataset	0.0287	eV/atom
# formation energy without anion corrections	-724	meV/atom
data_MgBeN
_cell_length_a 3.0326
_cell_length_b 3.0326
_cell_length_c 14.5218
_cell_angle_alpha 90.00
_cell_angle_beta 90.00
_cell_angle_gamma 90.00
_symmetry_space_group_name_H-M 'I -4 m 2'
_symmetry_Int_Tables_number 119
_symmetry_space_group_name_Hall 'I -4 -2'
loop_
_atom_site_label
_atom_site_type_symbol
_atom_site_fract_x
_atom_site_fract_y
_atom_site_fract_z
Mg1 Mg 0.0000 0.0000 0.1678
Be1 Be 0.0000 0.0000 0.0000
Be2 Be 0.0000 0.0000 0.5000
N1 N 0.0000 0.5000 0.5618

---

Entry 3:
# MgBeN GGA-PBE relaxed
# final energy	-15.596	eV/f.u.
# energy above the most stable polymorph in this dataset	0.1032	eV/atom
# formation energy without anion corrections	-650	meV/atom
data_MgBeN
_cell_length_a 2.9852
_cell_length_b 2.9852
_cell_length_c 24.8631
_cell_angle_alpha 90.00
_cell_angle_beta 90.00
_cell_angle_gamma 120.00
_symmetry_space_group_name_H-M 'R 3 m'
_symmetry_Int_Tables_number 160
_symmetry_space_group_name_Hall 'R 3 -2"'
loop_
_atom_site_label
_atom_site_type_symbol
_atom_site_fract_x
_atom_site_fract_y
_atom_site_fract_z
Mg1 Mg 0.0000 0.0000 0.0000
Mg2 Mg 0.0000 0.0000 0.4373
Be1 Be 0.0000 0.0000 0.5816
Be2 Be 0.0000 0.0000 0.8452
N1 N 0.0000 0.0000 0.1510
N2 N 0.0000 0.0000 0.9156